! PBE AcAl2Te4, relaxed; values from VASP
! - M_tot: 0.000 μB per atom
! - E_tot: -28.41 eV per cell
! - Uncorrected formation energy: -410 kJ/mol of formula units
! - Space group: No. 87
! - DOS at the Fermi energy: 0.648 states/eV/atom
&SYSTEM
  ibrav = 0, nat = 7, ntyp = 3
/
ATOMIC_SPECIES
Ac 227.00 Ac.upf
Al 26.98 Al.upf
Te 127.60 Te.upf
CELL_PARAMETERS angstrom
-4.1990 4.1990 3.2260
4.1990 -4.1990 3.2260
4.1990 4.1990 -3.2260
ATOMIC_POSITIONS angstrom
Ac 0.0000 0.0000 0.0000
Al 4.1990 0.0000 1.6130
Al 0.0000 4.1990 1.6130
Te 2.9876 1.7563 0.0000
Te 2.4427 -1.2114 3.2260
Te 1.7563 5.4104 0.0000
Te 1.2114 2.4427 3.2260

***

! PBE Ac4AlTe3, relaxed; values from VASP
! - M_tot: 0.000 μB per atom
! - E_tot: -39.10 eV per cell
! - Uncorrected formation energy: -917 kJ/mol of formula units
! - Space group: No. 221
! - DOS at the Fermi energy: 0.541 states/eV/atom
&SYSTEM
  ibrav = 0, nat = 8, ntyp = 3
/
ATOMIC_SPECIES
Ac 227.00 Ac.upf
Al 26.98 Al.upf
Te 127.60 Te.upf
CELL_PARAMETERS angstrom
6.6952 0.0000 0.0000
0.0000 6.6952 0.0000
0.0000 0.0000 6.6952
ATOMIC_POSITIONS angstrom
Ac 0.0000 0.0000 0.0000
Ac 0.0000 3.3476 3.3476
Ac 3.3476 0.0000 3.3476
Ac 3.3476 3.3476 0.0000
Al 3.3476 3.3476 3.3476
Te 0.0000 0.0000 3.3476
Te 0.0000 3.3476 0.0000
Te 3.3476 0.0000 0.0000

***

! PBE AcAlTl2Te4, relaxed; values from VASP
! - M_tot: 0.000 μB per atom
! - E_tot: -60.59 eV per cell
! - Uncorrected formation energy: -496 kJ/mol of formula units
! - Space group: No. 74
! - DOS at the Fermi energy: 0.128 states/eV/atom
&SYSTEM
  ibrav = 0, nat = 16, ntyp = 4
/
ATOMIC_SPECIES
Ac 227.00 Ac.upf
Al 26.98 Al.upf
Tl 204.38 Tl.upf
Te 127.60 Te.upf
CELL_PARAMETERS angstrom
-4.4168 4.8954 6.6041
4.4168 -4.8954 6.6041
4.4168 4.8954 -6.6041
ATOMIC_POSITIONS angstrom
Ac 0.0000 0.0000 0.0000
Ac 0.0000 4.8954 0.0000
Al -2.2084 2.4477 3.3020
Al 2.2084 2.4477 3.3020
Tl 2.2084 2.4477 -3.3020
Tl 2.2084 -2.4477 3.3020
Tl 4.4168 0.0000 0.0000
Tl 0.0000 0.0000 6.6041
Te 2.1763 2.4477 0.3315
Te 2.2404 -2.4477 6.9356
Te 0.0000 0.5162 3.3016
Te 4.4168 0.5162 3.3025
Te 0.0000 4.3792 3.3016
Te 4.4168 4.3792 3.3025
Te 2.1763 7.3430 -0.3315
Te 2.2404 2.4477 6.2726

***

! PBE AcTh2Al, relaxed; values from VASP
! - Energy of formation: -0.022 eV/atom
! - M_tot: 0.000 μB per atom
! - E_tot: -22.78 eV per cell
! - Space group: No. 123
! - DOS at the Fermi energy: 1.395 states/eV/atom
&SYSTEM
  ibrav = 0, nat = 4, ntyp = 3
/
ATOMIC_SPECIES
Ac 227.00 Ac.upf
Th 232.04 Th.upf
Al 26.98 Al.upf
CELL_PARAMETERS angstrom
3.7629 0.0000 0.0000
0.0000 3.7629 0.0000
0.0000 0.0000 8.9307
ATOMIC_POSITIONS angstrom
Ac 0.0000 0.0000 0.0000
Th 1.8814 1.8814 2.6620
Th 1.8814 1.8814 6.2686
Al 0.0000 0.0000 4.4653

***

! PBE AcThAl2, relaxed; values from VASP
! - Energy of formation: 0.035 eV/atom
! - M_tot: 0.000 μB per atom
! - E_tot: -18.87 eV per cell
! - Space group: No. 166
! - DOS at the Fermi energy: 1.221 states/eV/atom
&SYSTEM
  ibrav = 0, nat = 4, ntyp = 3
/
ATOMIC_SPECIES
Ac 227.00 Ac.upf
Th 232.04 Th.upf
Al 26.98 Al.upf
CELL_PARAMETERS angstrom
1.9209 1.1091 9.5329
-1.9209 1.1091 9.5329
0.0000 -2.2181 9.5329
ATOMIC_POSITIONS angstrom
Ac 0.0000 0.0000 0.0000
Th 0.0000 0.0000 14.2993
Al 0.0000 0.0000 7.0392
Al 0.0000 0.0000 21.5593

***

! PBE Ac2ThAl6, relaxed; values from VASP
! - Energy of formation: -0.132 eV/atom
! - M_tot: 0.000 μB per atom
! - E_tot: -39.28 eV per cell
! - Space group: No. 71
! - DOS at the Fermi energy: 0.573 states/eV/atom
&SYSTEM
  ibrav = 0, nat = 9, ntyp = 3
/
ATOMIC_SPECIES
Ac 227.00 Ac.upf
Th 232.04 Th.upf
Al 26.98 Al.upf
CELL_PARAMETERS angstrom
-1.9115 4.0408 7.9089
1.9115 -4.0408 7.9089
1.9115 4.0408 -7.9089
ATOMIC_POSITIONS angstrom
Ac 0.0000 0.0000 2.5725
Ac 0.0000 0.0000 13.2453
Th 0.0000 4.0408 0.0000
Al 1.9115 1.3364 0.0000
Al 1.9115 2.7142 -2.2498
Al 1.9115 2.7142 2.2498
Al 0.0000 1.3266 5.6591
Al 0.0000 1.3266 10.1587
Al 0.0000 2.7044 7.9089

***

! PBE AcThAl2, relaxed; values from VASP
! - Energy of formation: -0.183 eV/atom
! - M_tot: 0.001 μB per atom
! - E_tot: -19.75 eV per cell
! - Space group: No. 123
! - DOS at the Fermi energy: 1.103 states/eV/atom
&SYSTEM
  ibrav = 0, nat = 4, ntyp = 3
/
ATOMIC_SPECIES
Ac 227.00 Ac.upf
Th 232.04 Th.upf
Al 26.98 Al.upf
CELL_PARAMETERS angstrom
3.9655 0.0000 0.0000
0.0000 3.9655 0.0000
0.0000 0.0000 7.2220
ATOMIC_POSITIONS angstrom
Ac 0.0000 0.0000 0.0000
Th 0.0000 0.0000 3.6110
Al 1.9827 1.9827 2.0619
Al 1.9827 1.9827 5.1600

***

! PBE AcTh2Al, relaxed; values from VASP
! - Energy of formation: 0.239 eV/atom
! - M_tot: 0.000 μB per atom
! - E_tot: -21.73 eV per cell
! - Space group: No. 166
! - DOS at the Fermi energy: 1.296 states/eV/atom
&SYSTEM
  ibrav = 0, nat = 4, ntyp = 3
/
ATOMIC_SPECIES
Ac 227.00 Ac.upf
Th 232.04 Th.upf
Al 26.98 Al.upf
CELL_PARAMETERS angstrom
1.7655 1.0193 12.0120
-1.7655 1.0193 12.0120
0.0000 -2.0386 12.0120
ATOMIC_POSITIONS angstrom
Ac 0.0000 0.0000 0.0000
Th 0.0000 0.0000 3.5442
Th 0.0000 0.0000 32.4916
Al 0.0000 0.0000 18.0179

***

! PBE AcThAl2, relaxed; values from VASP
! - Energy of formation: -0.146 eV/atom
! - M_tot: 0.000 μB per atom
! - E_tot: -19.60 eV per cell
! - Space group: No. 225
! - DOS at the Fermi energy: 0.843 states/eV/atom
&SYSTEM
  ibrav = 0, nat = 4, ntyp = 3
/
ATOMIC_SPECIES
Ac 227.00 Ac.upf
Th 232.04 Th.upf
Al 26.98 Al.upf
CELL_PARAMETERS angstrom
0.0000 3.8356 3.8356
3.8356 0.0000 3.8356
3.8356 3.8356 0.0000
ATOMIC_POSITIONS angstrom
Ac 0.0000 0.0000 0.0000
Th 3.8356 3.8356 3.8356
Al 1.9178 1.9178 1.9178
Al 5.7534 5.7534 5.7534

***

! PBE AcTh2Al, relaxed; values from VASP
! - Energy of formation: 0.004 eV/atom
! - M_tot: 0.000 μB per atom
! - E_tot: -22.68 eV per cell
! - Space group: No. 123
! - DOS at the Fermi energy: 1.182 states/eV/atom
&SYSTEM
  ibrav = 0, nat = 4, ntyp = 3
/
ATOMIC_SPECIES
Ac 227.00 Ac.upf
Th 232.04 Th.upf
Al 26.98 Al.upf
CELL_PARAMETERS angstrom
4.9857 0.0000 0.0000
0.0000 4.9857 0.0000
0.0000 0.0000 4.9976
ATOMIC_POSITIONS angstrom
Ac 0.0000 0.0000 0.0000
Th 0.0000 2.4929 2.4988
Th 2.4929 0.0000 2.4988
Al 2.4929 2.4929 0.0000

***

! PBE AcThAlTl, relaxed; values from VASP
! - Energy of formation: -0.127 eV/atom
! - M_tot: 0.000 μB per atom
! - E_tot: -18.15 eV per cell
! - Space group: No. 216
! - DOS at the Fermi energy: 0.790 states/eV/atom
&SYSTEM
  ibrav = 0, nat = 4, ntyp = 4
/
ATOMIC_SPECIES
Ac 227.00 Ac.upf
Th 232.04 Th.upf
Al 26.98 Al.upf
Tl 204.38 Tl.upf
CELL_PARAMETERS angstrom
0.0000 3.9355 3.9355
3.9355 0.0000 3.9355
3.9355 3.9355 0.0000
ATOMIC_POSITIONS angstrom
Ac 0.0000 0.0000 0.0000
Th 3.9355 3.9355 3.9355
Al 1.9677 1.9677 1.9677
Tl 5.9032 5.9032 5.9032

***

! PBE AcTmThAl, relaxed; values from VASP
! - Energy of formation: 0.138 eV/atom
! - M_tot: 0.000 μB per atom
! - E_tot: -19.19 eV per cell
! - Space group: No. 216
! - DOS at the Fermi energy: 1.267 states/eV/atom
&SYSTEM
  ibrav = 0, nat = 4, ntyp = 4
/
ATOMIC_SPECIES
Ac 227.00 Ac.upf
Tm 168.93 Tm.upf
Th 232.04 Th.upf
Al 26.98 Al.upf
CELL_PARAMETERS angstrom
0.0000 3.9097 3.9097
3.9097 0.0000 3.9097
3.9097 3.9097 0.0000
ATOMIC_POSITIONS angstrom
Ac 0.0000 0.0000 0.0000
Tm 1.9548 1.9548 1.9548
Th 5.8645 5.8645 5.8645
Al 3.9097 3.9097 3.9097

***

What is the formula in the ninth record? AcThAl2